Material: BeCoOs2
Method: DFT, PBE-GGA
State: relaxed

Geometry as extended XYZ:
```
16
Lattice="5.844 0.000 0.000 0.000 5.844 0.000 0.000 0.000 5.844" Properties=species:S:1:pos:R:3 pbc="T T T"
Be 0.000 0.000 0.000
Be 0.000 2.922 2.922
Be 2.922 0.000 2.922
Be 2.922 2.922 0.000
Co 1.461 1.461 1.461
Co 1.461 4.383 4.383
Co 4.383 1.461 4.383
Co 4.383 4.383 1.461
Os 0.000 0.000 2.922
Os 0.000 2.922 0.000
Os 1.461 1.461 4.383
Os 1.461 4.383 1.461
Os 2.922 0.000 0.000
Os 2.922 2.922 2.922
Os 4.383 1.461 1.461
Os 4.383 4.383 4.383
```

Output
- space-group type = F-43m
- VASP energy (eV per atom) = -8.1181

---

Material: BeCoOs
Method: DFT, PBE-GGA
State: relaxed

Geometry as extended XYZ:
```
12
Lattice="5.331 0.000 0.000 0.000 5.331 0.000 0.000 0.000 5.331" Properties=species:S:1:pos:R:3 pbc="T T T"
Be 0.000 0.000 0.000
Be 0.000 2.665 2.665
Be 2.665 0.000 2.665
Be 2.665 2.665 0.000
Co 1.333 1.333 1.333
Co 1.333 3.998 3.998
Co 3.998 1.333 3.998
Co 3.998 3.998 1.333
Os 0.000 0.000 2.665
Os 0.000 2.665 0.000
Os 2.665 0.000 0.000
Os 2.665 2.665 2.665
```

Output
- space-group type = F-43m
- VASP energy (eV per atom) = -7.0136

---

Material: BeCoOsPb
Method: DFT, PBE-GGA
State: relaxed

Geometry as extended XYZ:
```
16
Lattice="6.117 0.000 0.000 0.000 6.117 0.000 0.000 0.000 6.117" Properties=species:S:1:pos:R:3 pbc="T T T"
Be 0.000 0.000 0.000
Be 0.000 3.059 3.059
Be 3.059 0.000 3.059
Be 3.059 3.059 0.000
Co 1.529 1.529 4.588
Co 1.529 4.588 1.529
Co 4.588 1.529 1.529
Co 4.588 4.588 4.588
Os 1.529 1.529 1.529
Os 1.529 4.588 4.588
Os 4.588 1.529 4.588
Os 4.588 4.588 1.529
Pb 0.000 0.000 3.059
Pb 0.000 3.059 0.000
Pb 3.059 0.000 0.000
Pb 3.059 3.059 3.059
```

Output
- space-group type = F-43m
- VASP energy (eV per atom) = -5.8191

---

Material: Be2Co2Si2OsPt
Method: DFT, PBE-GGA
State: relaxed

Geometry as extended XYZ:
```
8
Lattice="3.969 0.000 0.000 0.000 3.969 0.000 0.000 0.000 5.639" Properties=species:S:1:pos:R:3 pbc="T T T"
Be 0.000 1.984 1.366
Be 1.984 0.000 4.273
Co 0.000 0.000 2.820
Co 1.984 1.984 0.000
Si 0.000 1.984 4.295
Si 1.984 0.000 1.344
Os 0.000 0.000 0.000
Pt 1.984 1.984 2.820
```

Output
- space-group type = P-4m2
- VASP energy (eV per atom) = -6.7495

---

Q: What is the VASP energy in the first record?
A: -8.1181 eV per atom

---

Q: Look up the VASP energy of the second one.
A: -7.0136 eV per atom

---

Q: Which formula does entry 1 have?
A: BeCoOs2

---

Q: Look up the VASP energy of the third one.
A: -5.8191 eV per atom